Computed, not measured: a relaxed structure of VTeRhI2 at the GGA-PBE level of DFT.

Lattice parameters (Å, degrees): 5.3350 5.3350 5.1247 90.00 90.00 90.00
Element x y z (fractional)
I (0.0000, 0.5000, 0.0000)
I (0.5000, 0.0000, 0.0000)
Te (0.0000, 0.0000, 0.5000)
Rh (0.5000, 0.5000, 0.5000)
V (0.0000, 0.0000, 0.0000)

SG = P4/mmm (123)
magnetic moment = 0.0 μB per formula unit
ΔE to the lowest computed polymorph = 0.000 eV/atom
raw total energy = -3.680 eV/atom



Computed, not measured: a relaxed structure of TeRhWI2 at the GGA-PBE level of DFT.

Lattice parameters (Å, degrees): 5.6696 5.6696 5.1497 90.00 90.00 90.00
Element x y z (fractional)
I (0.0000, 0.5000, 0.0000)
I (0.5000, 0.0000, 0.0000)
Te (0.0000, 0.0000, 0.5000)
Rh (0.5000, 0.5000, 0.5000)
W (0.0000, 0.0000, 0.0000)

SG = P4/mmm (123)
magnetic moment = 3.5 μB per formula unit
ΔE to the lowest computed polymorph = 0.000 eV/atom
raw total energy = -4.037 eV/atom



Number 1: raw formation energy 0.8625 eV/atom. Number 2: raw formation energy 1.2722 eV/atom.